[1]
A plane-wave DFT calculation with SCAN was carried out for Nb3AsIr at its PBEsol-relaxed geometry.

DOS(E_F), states/eV/cell: 5.3
SG: Pm-3m, No. 221
Final energy, eV per atom: -37.314
Calculated formation energy, meV/atom: 821

abc: 4.8161 4.8161 4.8161
angles: 90.00 90.00 90.00
With the nearest neighbours (Å) after each atom.
Atoms (fractional coordinates):
Nb 0.0000 0.5000 0.0000  2 Ir 2.41
Nb 0.0000 0.0000 0.5000  2 Ir 2.41
Nb 0.5000 0.0000 0.0000  2 Ir 2.41
Ir 0.0000 0.0000 0.0000  6 Nb 2.41
As 0.5000 0.5000 0.5000  12 Nb 3.41

=====

[2]
A plane-wave DFT calculation with SCAN was carried out for KNbPS2 at its PBEsol-relaxed geometry.

DOS(E_F), states/eV/cell: 2.6
SG: P4/mmm, No. 123
Final energy, eV per atom: -14.922
ΔE_f (raw), eV per atom: -0.699

abc: 4.8391 4.8391 4.8549
angles: 90.00 90.00 90.00
With the nearest neighbours (Å) after each atom.
Atoms (fractional coordinates):
S 0.5000 0.0000 0.0000  2 Nb 2.42
S 0.0000 0.5000 0.0000  2 Nb 2.42
P 0.0000 0.0000 0.5000  2 Nb 2.43
K 0.5000 0.5000 0.5000  4 P 3.42, 8 S 3.43
Nb 0.0000 0.0000 0.0000  4 S 2.42, 2 P 2.43

=====

[3]
A plane-wave DFT calculation with SCAN was carried out for WSe2S at its PBEsol-relaxed geometry.

DOS(E_F), states/eV/cell: 2.5
SG: R-3m, No. 166
Final energy, eV per atom: -28.772
ΔE_f (raw), eV per atom: 1.096

abc: 3.0621 3.0621 8.9436
angles: 80.14 80.14 60.00
With the nearest neighbours (Å) after each atom.
Atoms (fractional coordinates):
W 0.0000 0.0000 0.0000  2 Se 2.44
S 0.5000 0.5000 0.5000  6 Se 2.63
Se 0.0926 0.0926 0.7222  1 W 2.44, 3 S 2.63
Se 0.9074 0.9074 0.2778  1 W 2.44, 3 S 2.63